# 1
YNi2Pd (PBE, relaxed); total magnetization = 0.022 μB per cell; energy of formation from the pure elements = -0.27 eV per atom; space group = F-43m, No. 216
1.0
0.0000 3.1662 3.1662
3.1662 0.0000 3.1662
3.1662 3.1662 0.0000
Y Ni Pd
1 2 1
direct
0.0000 0.0000 0.0000 Y
0.2500 0.2500 0.2500 Ni
0.5000 0.5000 0.5000 Ni
0.7500 0.7500 0.7500 Pd

# 2
NaTaNbTc (PBE, relaxed); total magnetization = 0.003 μB per cell; space group = F-43m, No. 216
1.0
0.0000 3.2550 3.2550
3.2550 0.0000 3.2550
3.2550 3.2550 0.0000
Na Ta Nb Tc
1 1 1 1
direct
0.0000 0.0000 0.0000 Na
0.7500 0.7500 0.7500 Ta
0.2500 0.2500 0.2500 Nb
0.5000 0.5000 0.5000 Tc

# 3
HfNbP (PBE, relaxed); total magnetization = 0.117 μB per cell; space group = P6_3mc, No. 186
1.0
4.5574 0.0000 0.0000
-2.2787 3.9468 0.0000
0.0000 0.0000 5.6053
Hf Nb P
2 2 2
direct
0.0000 0.0000 0.0000 Hf
0.0000 0.0000 0.5000 Hf
0.3333 0.6667 0.2658 Nb
0.6667 0.3333 0.7658 Nb
0.3333 0.6667 0.7371 P
0.6667 0.3333 0.2371 P

# 4
LiMg2ZrZn2Pt2 (PBE, relaxed); total magnetization = 0.007 μB per cell; space group = P-4m2, No. 115
1.0
4.4774 0.0000 0.0000
0.0000 4.4774 0.0000
0.0000 0.0000 6.4045
Li Mg Zr Zn Pt
1 2 1 2 2
direct
0.0000 0.0000 0.0000 Li
0.0000 0.5000 0.2229 Mg
0.5000 0.0000 0.7771 Mg
0.5000 0.5000 0.5000 Zr
0.0000 0.5000 0.7619 Zn
0.5000 0.0000 0.2381 Zn
0.0000 0.0000 0.5000 Pt
0.5000 0.5000 0.0000 Pt

# 5
Cs2Nb (PBE, relaxed); total magnetization = 9.999 μB per cell; space group = Fd-3m, No. 227
1.0
0.0000 7.0199 7.0199
7.0199 0.0000 7.0199
7.0199 7.0199 0.0000
Cs Nb
4 2
direct
0.0000 0.0000 0.0000 Cs
0.0000 0.0000 0.5000 Cs
0.0000 0.5000 0.0000 Cs
0.5000 0.0000 0.0000 Cs
0.1250 0.1250 0.1250 Nb
0.8750 0.8750 0.8750 Nb

# 6
GdTmAs2Pt2 (PBE, relaxed); total magnetization = 0.009 μB per cell; space group = P6_3/mmc, No. 194
1.0
4.2887 0.0000 0.0000
-2.1444 3.7142 0.0000
0.0000 0.0000 15.1215
Gd Tm As Pt
2 2 4 4
direct
0.0000 0.0000 0.0000 Gd
0.0000 0.0000 0.5000 Gd
0.0000 0.0000 0.2500 Tm
0.0000 0.0000 0.7500 Tm
0.3333 0.6667 0.1167 As
0.3333 0.6667 0.3833 As
0.6667 0.3333 0.6167 As
0.6667 0.3333 0.8833 As
0.3333 0.6667 0.6418 Pt
0.3333 0.6667 0.8582 Pt
0.6667 0.3333 0.1418 Pt
0.6667 0.3333 0.3582 Pt

# 7
CsDy3F10 (PBE, relaxed); total magnetization = 0.001 μB per cell; space group = Cm, No. 8
1.0
6.7308 -3.8920 0.0000
6.7308 3.8920 0.0000
-0.0092 0.0000 4.0886
Cs Dy F
1 3 10
direct
0.0000 0.0000 0.0000 Cs
0.5064 0.5064 0.5376 Dy
0.5071 0.9841 0.5333 Dy
0.9841 0.5071 0.5333 Dy
0.0814 0.4567 0.0325 F
0.1821 0.6329 0.5530 F
0.1828 0.1828 0.5491 F
0.3813 0.8074 0.3345 F
0.4567 0.0814 0.0325 F
0.4575 0.4575 0.0361 F
0.6329 0.1821 0.5530 F
0.6658 0.6658 0.7671 F
0.8074 0.3813 0.3345 F
0.8081 0.8081 0.3286 F

# 8
HoCu (PBE, relaxed); total magnetization = 0.001 μB per cell; energy of formation from the pure elements = -0.03 eV per atom; space group = Fm-3m, No. 225
1.0
0.0000 2.8421 2.8421
2.8421 0.0000 2.8421
2.8421 2.8421 0.0000
Ho Cu
1 1
direct
0.0000 0.0000 0.0000 Ho
0.5000 0.5000 0.5000 Cu

# 9
Y2TmSn3Pd3 (PBE, relaxed); total magnetization = 0.006 μB per cell; space group = Amm2, No. 38
1.0
3.8701 0.0000 0.0000
0.0000 6.6003 3.8294
0.0000 -6.6003 3.8294
Y Tm Sn Pd
2 1 3 3
direct
0.0000 0.2007 0.7993 Y
0.0000 0.7993 0.2007 Y
0.0000 0.3979 0.3979 Tm
0.5000 0.0617 0.0617 Sn
0.5000 0.5355 0.7991 Sn
0.5000 0.7991 0.5355 Sn
0.0000 0.7961 0.7961 Pd
0.5000 0.1369 0.4647 Pd
0.5000 0.4647 0.1369 Pd

# 10
NpOs (PBE, relaxed); total magnetization = 2.987 μB per cell; energy of formation from the pure elements = 1.18 eV per atom; space group = F-43m, No. 216
1.0
0.0000 2.9730 2.9730
2.9730 0.0000 2.9730
2.9730 2.9730 0.0000
Np Os
1 1
direct
0.0000 0.0000 0.0000 Np
0.7500 0.7500 0.7500 Os

# 11
Gd2HoGa3AgPt2 (PBE, relaxed); total magnetization = 0.002 μB per cell; space group = Amm2, No. 38
1.0
3.8241 0.0000 0.0000
0.0000 6.4520 3.7368
0.0000 -6.4520 3.7368
Gd Ho Ga Ag Pt
2 1 3 1 2
direct
0.0000 0.2043 0.7957 Gd
0.0000 0.7957 0.2043 Gd
0.0000 0.3862 0.3862 Ho
0.5000 0.0639 0.0639 Ga
0.5000 0.5271 0.7942 Ga
0.5000 0.7942 0.5271 Ga
0.0000 0.7932 0.7932 Ag
0.5000 0.1314 0.4610 Pt
0.5000 0.4610 0.1314 Pt

# 12
FeSiW (PBE, relaxed); total magnetization = 0.000 μB per cell; space group = F-43m, No. 216
1.0
0.0000 2.7692 2.7692
2.7692 0.0000 2.7692
2.7692 2.7692 0.0000
Fe Si W
1 1 1
direct
0.0000 0.0000 0.0000 Fe
0.7500 0.7500 0.7500 Si
0.2500 0.2500 0.2500 W

# 13
Nd2HoAl3Si2Ir (PBE, relaxed); total magnetization = 0.001 μB per cell; space group = Amm2, No. 38
1.0
4.2755 0.0000 0.0000
0.0000 6.1009 3.5321
0.0000 -6.1009 3.5321
Nd Ho Al Si Ir
2 1 3 2 1
direct
0.0000 0.2077 0.7923 Nd
0.0000 0.7923 0.2077 Nd
0.0000 0.6214 0.6214 Ho
0.5000 0.2130 0.4395 Al
0.5000 0.4395 0.2130 Al
0.5000 0.9778 0.9778 Al
0.5000 0.5462 0.8697 Si
0.5000 0.8697 0.5462 Si
0.0000 0.2178 0.2178 Ir

# 14
PmNbAsO (PBE, relaxed); total magnetization = 0.178 μB per cell; space group = P4/nmm, No. 129
1.0
4.0178 0.0000 0.0000
0.0000 4.0178 0.0000
0.0000 0.0000 9.2244
Pm Nb As O
2 2 2 2
direct
0.2500 0.2500 0.1265 Pm
0.7500 0.7500 0.8735 Pm
0.2500 0.7500 0.5000 Nb
0.7500 0.2500 0.5000 Nb
0.2500 0.2500 0.6930 As
0.7500 0.7500 0.3070 As
0.2500 0.7500 0.0000 O
0.7500 0.2500 0.0000 O

# 15
NbRePO (PBE, relaxed); total magnetization = 0.018 μB per cell; space group = P4/nmm, No. 129
1.0
3.7541 0.0000 0.0000
0.0000 3.7541 0.0000
0.0000 0.0000 7.5184
Nb Re P O
2 2 2 2
direct
0.2500 0.2500 0.1655 Nb
0.7500 0.7500 0.8345 Nb
0.2500 0.7500 0.5000 Re
0.7500 0.2500 0.5000 Re
0.2500 0.2500 0.7018 P
0.7500 0.7500 0.2982 P
0.2500 0.7500 0.0000 O
0.7500 0.2500 0.0000 O

# 16
PuNbTc (PBE, relaxed); total magnetization = 4.463 μB per cell; energy of formation from the pure elements = 0.55 eV per atom; space group = F-43m, No. 216
1.0
0.0000 3.1188 3.1188
3.1188 0.0000 3.1188
3.1188 3.1188 0.0000
Pu Nb Tc
1 1 1
direct
0.0000 0.0000 0.0000 Pu
0.2500 0.2500 0.2500 Nb
0.5000 0.5000 0.5000 Tc

# 17
TmInNiTe3 (PBE, relaxed); total magnetization = 0.014 μB per cell; space group = C2/m, No. 12
1.0
8.7440 -2.1356 0.0000
8.7440 2.1356 0.0000
-2.4853 0.0000 9.1465
Tm In Ni Te
2 2 2 6
direct
0.1742 0.1742 0.0913 Tm
0.8258 0.8258 0.9087 Tm
0.1393 0.1393 0.5635 In
0.8607 0.8607 0.4365 In
0.4948 0.4948 0.8121 Ni
0.5052 0.5052 0.1879 Ni
0.0000 0.0000 0.0000 Te
0.3417 0.3417 0.6944 Te
0.3515 0.3515 0.1478 Te
0.5000 0.5000 0.5000 Te
0.6485 0.6485 0.8522 Te
0.6583 0.6583 0.3056 Te

# 18
BeHgGePd (PBE, relaxed); space group = F-43m, No. 216
1.0
0.0000 3.2107 3.2107
3.2107 0.0000 3.2107
3.2107 3.2107 0.0000
Be Hg Ge Pd
1 1 1 1
direct
0.0000 0.0000 0.0000 Be
0.7500 0.7500 0.7500 Hg
0.2500 0.2500 0.2500 Ge
0.5000 0.5000 0.5000 Pd

# 19
Li3Tc2S6 (PBE, relaxed); total magnetization = 0.016 μB per cell; space group = C2/m, No. 12
1.0
2.9942 -5.1131 0.0000
2.9942 5.1131 0.0000
-1.5884 0.0000 6.0785
Li Tc S
3 2 6
direct
0.0000 0.0000 0.0000 Li
0.1838 0.8162 0.5000 Li
0.8162 0.1838 0.5000 Li
0.3682 0.6318 0.0000 Tc
0.6318 0.3682 0.0000 Tc
0.0476 0.4144 0.2108 S
0.2815 0.2815 0.7322 S
0.4144 0.0476 0.2108 S
0.5856 0.9524 0.7892 S
0.7185 0.7185 0.2678 S
0.9524 0.5856 0.7892 S

# 20
Hf3GaB2 (PBE, relaxed); total magnetization = 0.002 μB per cell; space group = P6_3/mmc, No. 194
1.0
3.3649 0.0000 0.0000
-1.6825 2.9141 0.0000
0.0000 0.0000 20.0931
Hf Ga B
6 2 4
direct
0.0000 0.0000 0.0000 Hf
0.0000 0.0000 0.5000 Hf
0.3333 0.6667 0.1371 Hf
0.3333 0.6667 0.3629 Hf
0.6667 0.3333 0.6371 Hf
0.6667 0.3333 0.8629 Hf
0.0000 0.0000 0.2500 Ga
0.0000 0.0000 0.7500 Ga
0.3333 0.6667 0.5719 B
0.3333 0.6667 0.9281 B
0.6667 0.3333 0.0719 B
0.6667 0.3333 0.4281 B

# 21
AgTeO3 (PBE, relaxed); space group = P4mm, No. 99
1.0
4.0352 0.0000 0.0000
0.0000 4.0352 0.0000
0.0000 0.0000 4.0434
Ag Te O
1 1 3
direct
0.0000 0.0000 0.0000 Ag
0.5000 0.5000 0.5031 Te
0.0000 0.5000 0.5049 O
0.5000 0.0000 0.5049 O
0.5000 0.5000 0.0039 O

# 22
CdTePbO (PBE, relaxed); space group = Pbam, No. 55
1.0
10.8030 0.0000 0.0000
0.0000 19.4118 0.0000
0.0000 0.0000 4.4253
Cd Te Pb O
8 8 8 8
direct
0.0537 0.1113 0.0000 Cd
0.1497 0.6317 0.0000 Cd
0.3503 0.1317 0.0000 Cd
0.4463 0.6113 0.0000 Cd
0.5537 0.3887 0.0000 Cd
0.6497 0.8683 0.0000 Cd
0.8503 0.3683 0.0000 Cd
0.9463 0.8887 0.0000 Cd
0.0024 0.3873 0.5000 Te
0.0922 0.8562 0.5000 Te
0.4078 0.3562 0.5000 Te
0.4976 0.8873 0.5000 Te
0.5024 0.1127 0.5000 Te
0.5922 0.6438 0.5000 Te
0.9078 0.1438 0.5000 Te
0.9976 0.6127 0.5000 Te
0.1653 0.2494 0.5000 Pb
0.2417 0.4936 0.5000 Pb
0.2583 0.9936 0.5000 Pb
0.3347 0.7494 0.5000 Pb
0.6653 0.2506 0.5000 Pb
0.7417 0.0064 0.5000 Pb
0.7583 0.5064 0.5000 Pb
0.8347 0.7506 0.5000 Pb
0.1930 0.2023 0.0000 O
0.2114 0.0394 0.0000 O
0.2886 0.5394 0.0000 O
0.3070 0.7022 0.0000 O
0.6930 0.2978 0.0000 O
0.7114 0.4606 0.0000 O
0.7886 0.9606 0.0000 O
0.8070 0.7978 0.0000 O

# 23
LiNd2BiO6 (PBE, relaxed); total magnetization = 0.002 μB per cell; space group = P2_1/c, No. 14
1.0
5.5581 0.0000 0.0000
0.0000 5.9013 0.0000
-5.3653 0.0000 7.9774
Li Nd Bi O
2 4 2 12
direct
0.0000 0.0000 0.0000 Li
0.0000 0.5000 0.5000 Li
0.2271 0.0679 0.7488 Nd
0.2271 0.4321 0.2488 Nd
0.7729 0.5679 0.7512 Nd
0.7729 0.9321 0.2512 Nd
0.5000 0.0000 0.5000 Bi
0.5000 0.5000 0.0000 Bi
0.1360 0.1912 0.4430 O
0.1360 0.3088 0.9430 O
0.2506 0.6999 0.4389 O
0.2506 0.8001 0.9389 O
0.3670 0.0439 0.2494 O
0.3670 0.4561 0.7494 O
0.6330 0.5439 0.2506 O
0.6330 0.9561 0.7506 O
0.7494 0.1999 0.0611 O
0.7494 0.3001 0.5611 O
0.8640 0.6912 0.0570 O
0.8640 0.8088 0.5570 O

# 24
SmMgSi (PBE, relaxed); total magnetization = 0.001 μB per cell; space group = F-43m, No. 216
1.0
0.0000 3.4408 3.4408
3.4408 0.0000 3.4408
3.4408 3.4408 0.0000
Sm Mg Si
1 1 1
direct
0.0000 0.0000 0.0000 Sm
0.7500 0.7500 0.7500 Mg
0.2500 0.2500 0.2500 Si

The records above give, respectively, final energy values of -23.85; -31.41; -53.20; -32.44; -11.36; -75.93; -88.02; -8.35; -53.37; -21.63; -45.86; -27.62; -52.24; -63.89; -71.53; -32.94; -50.49; -12.73; -59.18; -97.94; -23.39; -122.20; -136.64; -11.21 eV per cell.